[1]
MgNbAu, relaxed, DFT PBE-GGA; space-group type = P6_3/mmc, No. 194; density = 6.71 g/cm³; DFT total energy = -10.119 eV per formula unit; density of states at the Fermi level = 9.0 states/eV per cell
1.0
3.554 -2.052 0.000
0.000 4.104 0.000
0.000 0.000 10.664
Mg Au Nb
2 2 2
Direct
0.000 0.000 0.750
0.000 0.000 0.250
0.333 0.667 0.250
0.667 0.333 0.750
0.000 0.000 0.500
0.000 0.000 0.000

[2]
CsSrHgSb, relaxed, DFT PBE-GGA; space-group type = F-43m, No. 216; density = 5.89 g/cm³; uncorrected formation energy = -0.519 eV per atom
1.0
6.005 0.000 0.000
3.002 5.200 0.000
3.002 1.733 4.903
Sr Hg Cs Sb
1 1 1 1
Direct
0.250 0.250 0.250
0.500 0.500 0.500
0.750 0.750 0.750
0.000 0.000 0.000

[3]
Tb5CeTl5, relaxed, DFT PBE-GGA; space-group type = C2/m, No. 12; density = 9.52 g/cm³; DFT total energy = -41.725 eV per formula unit; density of states at the Fermi level = 15.9 states/eV per cell
1.0
5.995 0.000 0.000
-2.997 8.083 1.101
0.000 -1.864 6.787
Tl Tb Ce
5 5 1
Direct
0.174 0.347 0.735
0.169 0.338 0.285
0.831 0.662 0.715
0.500 0.000 0.000
0.826 0.653 0.265
0.679 0.358 0.921
0.363 0.726 0.591
0.321 0.642 0.079
0.000 0.000 0.500
0.637 0.274 0.409
0.000 0.000 0.000

[4]
AlCuN3, relaxed, DFT PBE-GGA; space-group type = Pm-3m, No. 221; density = 4.31 g/cm³; density of states at the Fermi level = 4.8 states/eV per cell; uncorrected formation energy = 1.285 eV per atom
1.0
-1.492 -1.848 2.851
3.379 -1.134 1.033
0.357 3.012 2.139
N Cu Al
3 1 1
Direct
0.500 0.000 0.000
0.000 0.000 0.500
0.000 0.500 0.000
0.500 0.500 0.500
0.000 0.000 0.000

[5]
In3Ir5, relaxed, DFT PBE-GGA; space-group type = P6_3/mcm, No. 193; density = 15.33 g/cm³; DFT total energy = -49.534 eV per formula unit; density of states at the Fermi level = 16.0 states/eV per cell
1.0
-6.201 3.101 -3.860
2.382 -7.395 -1.613
-3.191 -1.826 3.660
Ir In
10 6
Direct
0.667 0.333 0.000
0.194 0.194 0.750
0.806 0.000 0.750
0.667 0.333 0.500
0.000 0.806 0.750
0.194 0.000 0.250
0.333 0.667 0.000
0.333 0.667 0.500
0.806 0.806 0.250
0.000 0.194 0.250
0.000 0.602 0.250
0.602 0.602 0.750
0.000 0.398 0.750
0.398 0.000 0.750
0.398 0.398 0.250
0.602 0.000 0.250

[6]
NaTl3As, relaxed, DFT PBE-GGA; space-group type = P2_1/c, No. 14; density = 8.11 g/cm³; density of states at the Fermi level = 8.5 states/eV per cell; offset from the most stable computed form = 0.0000 eV/atom
1.0
5.806 0.000 0.000
0.000 10.076 -7.461
0.000 -2.990 12.175
Tl Na As
12 4 4
Direct
0.766 0.861 0.863
0.085 0.441 0.110
0.266 0.639 0.637
0.115 0.851 0.308
0.385 0.351 0.808
0.915 0.559 0.890
0.615 0.649 0.192
0.234 0.139 0.137
0.885 0.149 0.692
0.585 0.059 0.390
0.415 0.941 0.610
0.734 0.361 0.363
0.583 0.231 0.005
0.083 0.269 0.495
0.417 0.769 0.995
0.917 0.731 0.505
0.441 0.571 0.362
0.559 0.429 0.638
0.941 0.929 0.138
0.059 0.071 0.862

[7]
SmTm12Tl3, relaxed, DFT PBE-GGA; space-group type = P4/mmm, No. 123; density = 10.20 g/cm³; DFT total energy = -67.241 eV per formula unit; density of states at the Fermi level = 18.7 states/eV per cell
1.0
-4.314 1.894 -0.972
0.043 -2.117 -4.320
-8.683 -15.838 7.676
Sm Tl Tm
1 3 12
Direct
0.000 0.000 0.000
0.000 0.000 0.743
0.000 0.000 0.257
0.000 0.000 0.500
0.500 0.500 0.500
0.500 0.000 0.622
0.500 0.500 0.256
0.500 0.000 0.131
0.500 0.500 0.000
0.000 0.500 0.869
0.500 0.000 0.378
0.000 0.500 0.622
0.500 0.500 0.744
0.000 0.500 0.131
0.500 0.000 0.869
0.000 0.500 0.378